# 1
Computed, not measured: a relaxed Cr2CdCo crystal at the PBE level of DFT.

## Properties
Fermi-level density of states	3.3	states/eV/f.u.
DFT formation energy	0.408	eV/atom
E_tot	-6.41	eV/atom

Cell: 2.8616 3.5756 5.5167 Å, 90.00 90.00 90.00°
Fractional positions:
Cr: 0.0000 0.0000 0.1808
Cr: 0.0000 0.0000 0.8192
Cd: 0.5000 0.5000 0.5000
Co: 0.5000 0.5000 0.0000



# 2
Computed, not measured: a relaxed CrCd3Co crystal at the PBE level of DFT.

## Properties
Fermi-level density of states	4.3	states/eV/f.u.
DFT formation energy	0.750	eV/atom
E_tot	-3.14	eV/atom

Cell: 4.8983 4.8983 4.8983 Å, 90.00 90.00 90.00°
Fractional positions:
Cr: 0.0000 0.0000 0.0000
Cd: 0.0000 0.5000 0.5000
Cd: 0.5000 0.0000 0.5000
Cd: 0.5000 0.5000 0.0000
Co: 0.5000 0.5000 0.5000



> What is the Fermi-level density of states in the first record?

3.3 states/eV/f.u.